Record 1
A geometry-optimized Nd2Dy3Tm6Zr structure, computed with PBE-GGA.

Cell: 6.071 6.071 11.578 Å, 95.00 95.00 119.95°
Sites, in units of the cell vectors:
Nd: 0.333 0.667 0.000
Nd: 0.667 0.333 0.000
Dy: 0.166 0.834 0.500
Dy: 0.834 0.166 0.500
Dy: 0.500 0.500 0.500
Tm: 0.917 0.591 0.752
Tm: 0.756 0.756 0.247
Tm: 0.083 0.409 0.248
Tm: 0.591 0.917 0.752
Tm: 0.244 0.244 0.753
Tm: 0.409 0.083 0.248
Zr: 0.000 0.000 0.000

Summary:
Its symmetry is No. 12. The calculation puts the calculated formation energy at 0.05 eV per atom. As for the crystal system: monoclinic. Its total energy is -4.84 eV per atom.

---

Record 2
A geometry-optimized Na2UPaS5 structure, computed with PBE-GGA.

Cell: 5.024 5.024 10.558 Å, 90.00 90.00 90.00°
Each line ends with the local moment (μB).
Sites, in units of the cell vectors:
Na: 0.500 0.500 0.270  0.00
Na: 0.500 0.500 0.730  0.00
U: 0.000 0.000 0.000  2.83
Pa: 0.000 0.000 0.500  0.22
S: 0.000 0.500 0.500  -0.01
S: 0.500 0.000 0.500  -0.01
S: 0.000 0.000 0.752  -0.04
S: 0.000 0.000 0.248  -0.04
S: 0.500 0.500 0.000  -0.04

Summary:
Its symmetry is No. 123. The uncorrected formation energy is -914 kJ/mol of formula units. As for the crystal system: tetragonal. Its total energy is -5.95 eV per atom.

---

Record 3
A geometry-optimized Co3CuAu structure, computed with PBE-GGA.

Cell: 4.298 4.298 4.298 Å, 90.00 90.00 90.00°
Each line ends with the local moment (μB).
Sites, in units of the cell vectors:
Co: 0.000 0.500 0.000  1.74
Co: 0.000 0.000 0.500  2.24
Co: 0.500 0.000 0.000  1.53
Au: 0.500 0.500 0.500  0.04
Cu: 0.000 0.000 0.000  0.17

Summary:
The value obtained for the polymorph energy (0 for the lowest one) is 0 meV/atom. Its symmetry is No. 221. The calculation puts the calculated formation energy at 1.18 eV per atom. As for the crystal system: cubic. Its total energy is -4.56 eV per atom.

---

Record 4
A geometry-optimized SiHIN2 structure, computed with PBE-GGA.

Cell: 3.398 3.398 7.452 Å, 90.00 90.00 90.00°
Sites, in units of the cell vectors:
I: 0.000 0.000 0.500
H: 0.500 0.500 0.500
Si: 0.000 0.000 0.000
N: 0.000 0.500 0.000
N: 0.500 0.000 0.000

Summary:
The value obtained for the polymorph energy (0 for the lowest one) is 0 meV/atom. Its symmetry is No. 123. As for the crystal system: tetragonal. Its total energy is -4.65 eV per atom.

---

Record 5
A geometry-optimized Cd2InTe2 structure, computed with PBE-GGA.

Cell: 4.482 4.482 8.388 Å, 74.50 74.50 90.00°
Sites, in units of the cell vectors:
Cd: 0.750 0.250 0.500
Cd: 0.250 0.750 0.500
Te: 0.382 0.382 0.236
Te: 0.618 0.618 0.764
In: 0.000 0.000 0.000

Summary:
The value obtained for the polymorph energy (0 for the lowest one) is 0 meV/atom. Its symmetry is No. 139. The uncorrected formation energy is -54 kJ/mol of formula units. As for the crystal system: tetragonal. Its total energy is -2.28 eV per atom.

---

Record 6
A geometry-optimized Rb2PrCuF6 structure, computed with PBE-GGA.

Cell: 6.458 6.458 6.458 Å, 60.00 60.00 60.00°
Each line ends with the local moment (μB).
Sites, in units of the cell vectors:
Rb: 0.750 0.750 0.750  0.00
Rb: 0.250 0.250 0.250  0.00
Pr: 0.500 0.500 0.500  0.00
Cu: 0.000 0.000 0.000  0.10
F: 0.751 0.249 0.249  0.00
F: 0.249 0.249 0.751  0.00
F: 0.249 0.751 0.751  0.00
F: 0.249 0.751 0.249  0.00
F: 0.751 0.249 0.751  0.00
F: 0.751 0.751 0.249  0.00

Summary:
The value obtained for the polymorph energy (0 for the lowest one) is 51 meV/atom. Its symmetry is No. 225. The uncorrected formation energy is -2725 kJ/mol of formula units. As for the crystal system: cubic. Its total energy is -5.03 eV per atom.